Entry 1:
Computed, not measured: an optimized crystal structure of Ho2Be4Ge3Ru at the PBE-GGA level of DFT.

The total moment is 0.00 Bohr magnetons per cell. For the total energy, the calculation gives -5.136 eV per atom. Its energy of formation is -4.17 eV/f.u.

The structure belongs to space group P-4m2 (No. 115); the cell edges are 3.848, 3.848 and 10.043 Å and the angles 90.00°, 90.00° and 90.00°. The distinct sites, in fractional coordinates, are Ho at (0.000, 0.500, 0.249), Be at (0.000, 0.000, 0.500), Be at (0.000, 0.500, 0.866), Be at (0.500, 0.500, 0.500), Ge at (0.000, 0.000, 0.000), Ge at (0.000, 0.500, 0.635) and Ru at (0.500, 0.500, 0.000).

---

Entry 2:
Computed, not measured: an optimized crystal structure of HoBe2TcGe2 at the PBE-GGA level of DFT.

The total moment is 0.00 Bohr magnetons per cell. For the total energy, the calculation gives -5.597 eV per atom. Its energy of formation is -1.95 eV/f.u.

The structure belongs to space group P-3m1 (No. 164); the cell edges are 3.9760, 3.9760 and 6.5796 Å and the angles 90.00°, 90.00° and 120.00°. The distinct sites, in fractional coordinates, are Ho at (0.0000, 0.0000, 0.0000), Be at (0.3333, 0.6667, 0.3532), Tc at (0.0000, 0.0000, 0.5000) and Ge at (0.3333, 0.6667, 0.7280).

---

Entry 3:
Computed, not measured: an optimized crystal structure of Be2GeI6 at the PBE-GGA level of DFT.

The total moment is 0.00 Bohr magnetons per cell. The energy relative to the elements, uncorrected is -350 kJ/mol of formula units. For the total energy, the calculation gives -2.777 eV per atom.

The structure belongs to space group C2/c (No. 15); the cell edges are 15.512, 15.571 and 6.868 Å and the angles 90.00°, 116.21° and 90.00°. The distinct sites, in fractional coordinates, are Be at (0.250, 0.073, 0.152), Ge at (0.000, 0.250, 0.750), I at (0.107, 0.356, 0.583), I at (0.108, 0.145, 0.133) and I at (0.250, 0.072, 0.795).

---

Entry 4:
Computed, not measured: an optimized crystal structure of Be2GeI at the PBE-GGA level of DFT.

As for the relative energy among the computed polymorphs: 67.2 kJ/mol of atoms. The total moment is 0.00 Bohr magnetons per cell. The energy relative to the elements, uncorrected is 412 kJ/mol of formula units. For the total energy, the calculation gives -2.337 eV per atom.

The structure belongs to space group Fm-3m (No. 225); the cell edges are 6.492, 6.492 and 6.492 Å and the angles 90.00°, 90.00° and 90.00°. The distinct sites, in fractional coordinates, are Be at (0.250, 0.250, 0.250), Ge at (0.000, 0.000, 0.000) and I at (0.000, 0.000, 0.500).

---

Entry 5:
Computed, not measured: an optimized crystal structure of BeGe2I at the PBE-GGA level of DFT.

As for the relative energy among the computed polymorphs: 0.0 kJ/mol of atoms. The total moment is 0.00 Bohr magnetons per cell. The energy relative to the elements, uncorrected is 153 kJ/mol of formula units. For the total energy, the calculation gives -3.230 eV per atom.

The structure belongs to space group I-42d (No. 122); the cell edges are 5.904, 5.904 and 11.660 Å and the angles 90.00°, 90.00° and 90.00°. The distinct sites, in fractional coordinates, are Be at (0.000, 0.000, 0.000), Ge at (0.123, 0.250, 0.125) and I at (0.000, 0.000, 0.500).

---

Entry 6:
Computed, not measured: an optimized crystal structure of BeGe2I at the PBE-GGA level of DFT.

As for the relative energy among the computed polymorphs: 51.9 kJ/mol of atoms. The total moment is 0.00 Bohr magnetons per cell. The energy relative to the elements, uncorrected is 361 kJ/mol of formula units. For the total energy, the calculation gives -2.692 eV per atom.

The structure belongs to space group Fm-3m (No. 225); the cell edges are 6.977, 6.977 and 6.977 Å and the angles 90.00°, 90.00° and 90.00°. The distinct sites, in fractional coordinates, are Be at (0.000, 0.000, 0.000), Ge at (0.250, 0.250, 0.250) and I at (0.000, 0.000, 0.500).

---

Repeat the second record exactly.
Computed, not measured: an optimized crystal structure of HoBe2TcGe2 at the PBE-GGA level of DFT.

The total moment is 0.00 Bohr magnetons per cell. For the total energy, the calculation gives -5.597 eV per atom. Its energy of formation is -1.95 eV/f.u.

The structure belongs to space group P-3m1 (No. 164); the cell edges are 3.9760, 3.9760 and 6.5796 Å and the angles 90.00°, 90.00° and 120.00°. The distinct sites, in fractional coordinates, are Ho at (0.0000, 0.0000, 0.0000), Be at (0.3333, 0.6667, 0.3532), Tc at (0.0000, 0.0000, 0.5000) and Ge at (0.3333, 0.6667, 0.7280).

---

What did the third record say?
Computed, not measured: an optimized crystal structure of Be2GeI6 at the PBE-GGA level of DFT.

The total moment is 0.00 Bohr magnetons per cell. The energy relative to the elements, uncorrected is -350 kJ/mol of formula units. For the total energy, the calculation gives -2.777 eV per atom.

The structure belongs to space group C2/c (No. 15); the cell edges are 15.512, 15.571 and 6.868 Å and the angles 90.00°, 116.21° and 90.00°. The distinct sites, in fractional coordinates, are Be at (0.250, 0.073, 0.152), Ge at (0.000, 0.250, 0.750), I at (0.107, 0.356, 0.583), I at (0.108, 0.145, 0.133) and I at (0.250, 0.072, 0.795).

---

What did the sixth record say?
Computed, not measured: an optimized crystal structure of BeGe2I at the PBE-GGA level of DFT.

As for the relative energy among the computed polymorphs: 51.9 kJ/mol of atoms. The total moment is 0.00 Bohr magnetons per cell. The energy relative to the elements, uncorrected is 361 kJ/mol of formula units. For the total energy, the calculation gives -2.692 eV per atom.

The structure belongs to space group Fm-3m (No. 225); the cell edges are 6.977, 6.977 and 6.977 Å and the angles 90.00°, 90.00° and 90.00°. The distinct sites, in fractional coordinates, are Be at (0.000, 0.000, 0.000), Ge at (0.250, 0.250, 0.250) and I at (0.000, 0.000, 0.500).